1.
{"formula": "LiReTeN2", "functional": "PBE", "state": "relaxed", "e_above_lowest_polymorph_mev_per_atom": 0, "raw_formation_energy_ev_per_atom": 0.149, "cell": [[3.8572, 0.0000, 0.0000], [0.0000, 3.8572, 0.0000], [0.0000, 0.0000, 5.7669]], "species": ["Li", "Re", "Te", "N", "N"], "fractional_positions": [[0.0000, 0.0000, 0.0000], [0.5000, 0.5000, 0.5000], [0.5000, 0.5000, 0.0000], [0.0000, 0.5000, 0.5000], [0.5000, 0.0000, 0.5000]]}

***

2.
{"formula": "Li2TlReN", "functional": "PBE", "state": "relaxed", "raw_formation_energy_ev_per_atom": -0.047, "cell": [[4.2276, 0.0000, 0.0000], [0.0000, 4.2276, 0.0000], [0.0000, 0.0000, 3.9078]], "species": ["Li", "Li", "Tl", "Re", "N"], "fractional_positions": [[0.0000, 0.5000, 0.0000], [0.5000, 0.0000, 0.0000], [0.0000, 0.0000, 0.5000], [0.5000, 0.5000, 0.5000], [0.5000, 0.5000, 0.0000]]}

***

3.
{"formula": "LiTlReN2", "functional": "PBE", "state": "relaxed", "raw_formation_energy_ev_per_atom": 2.734, "cell": [[4.3930, 0.0000, 0.0000], [0.0000, 4.3930, 0.0000], [0.0000, 0.0000, 5.3670]], "species": ["Li", "Tl", "Re", "N", "N"], "fractional_positions": [[0.0000, 0.0000, 0.0000], [0.5000, 0.5000, 0.5000], [0.5000, 0.5000, 0.0000], [0.0000, 0.5000, 0.5000], [0.5000, 0.0000, 0.5000]]}

***

4.
{"formula": "Li2TmReN4", "functional": "PBE", "state": "relaxed", "raw_formation_energy_ev_per_atom": -0.800, "cell": [[7.0065, 0.0000, 0.0000], [0.0000, 5.9358, 0.0000], [0.0000, 0.0000, 5.1229]], "species": ["Li", "Li", "Li", "Li", "Tm", "Tm", "Re", "Re", "N", "N", "N", "N", "N", "N", "N", "N"], "fractional_positions": [[0.2492, 0.1642, 0.0000], [0.2508, 0.8358, 0.5000], [0.7492, 0.8358, 0.5000], [0.7508, 0.1642, 0.0000], [0.0000, 0.6691, 0.9865], [0.5000, 0.3309, 0.4865], [0.0000, 0.3160, 0.5158], [0.5000, 0.6840, 0.0158], [0.0000, 0.3125, 0.8711], [0.0000, 0.6199, 0.4316], [0.2176, 0.1737, 0.4059], [0.2824, 0.8263, 0.9059], [0.5000, 0.3801, 0.9316], [0.5000, 0.6875, 0.3711], [0.7176, 0.8263, 0.9059], [0.7824, 0.1737, 0.4059]]}

***

5.
{"formula": "LiTmRe2N6", "functional": "PBE", "state": "relaxed", "raw_formation_energy_ev_per_atom": -0.432, "cell": [[5.5436, -4.8115, 0.0000], [5.5436, 4.8115, 0.0000], [-2.4761, 0.0000, 5.6257]], "species": ["Li", "Li", "Tm", "Tm", "Re", "Re", "Re", "Re", "N", "N", "N", "N", "N", "N", "N", "N", "N", "N", "N", "N"], "fractional_positions": [[0.2354, 0.7647, 0.7500], [0.7647, 0.2354, 0.2500], [0.4081, 0.5919, 0.2500], [0.5919, 0.4081, 0.7500], [0.1208, 0.2944, 0.7057], [0.2944, 0.1208, 0.2057], [0.7056, 0.8792, 0.7943], [0.8792, 0.7056, 0.2943], [0.1144, 0.6117, 0.3092], [0.1215, 0.1768, 0.3907], [0.1768, 0.1215, 0.8907], [0.2887, 0.4835, 0.8394], [0.3883, 0.8856, 0.1908], [0.4835, 0.2887, 0.3394], [0.5165, 0.7113, 0.6606], [0.6117, 0.1144, 0.8092], [0.7113, 0.5165, 0.1606], [0.8232, 0.8785, 0.1093], [0.8785, 0.8232, 0.6093], [0.8856, 0.3883, 0.6908]]}

***

6.
{"formula": "Li2UReN4", "functional": "PBE", "state": "relaxed", "raw_formation_energy_ev_per_atom": -0.373, "cell": [[1.5940, -6.1647, 0.0000], [1.5940, 6.1647, 0.0000], [0.0000, 0.0000, 9.3871]], "species": ["Li", "Li", "Li", "Li", "U", "U", "Re", "Re", "N", "N", "N", "N", "N", "N", "N", "N"], "fractional_positions": [[0.0915, 0.9085, 0.5372], [0.0915, 0.9085, 0.9628], [0.9085, 0.0915, 0.0372], [0.9085, 0.0915, 0.4628], [0.4575, 0.5425, 0.7500], [0.5425, 0.4575, 0.2500], [0.2833, 0.7167, 0.2500], [0.7167, 0.2833, 0.7500], [0.1019, 0.8981, 0.7500], [0.1891, 0.8109, 0.1099], [0.1891, 0.8109, 0.3901], [0.5000, 0.5000, 0.0000], [0.5000, 0.5000, 0.5000], [0.8109, 0.1891, 0.6099], [0.8109, 0.1891, 0.8901], [0.8981, 0.1019, 0.2500]]}

***

7.
{"formula": "Li3U3ReN8", "functional": "PBE", "state": "relaxed", "raw_formation_energy_ev_per_atom": -0.813, "cell": [[3.3418, 1.9294, 5.0461], [-3.3418, 1.9294, 5.0461], [0.0000, -3.8587, 5.0461]], "species": ["Li", "Li", "Li", "U", "U", "U", "Re", "N", "N", "N", "N", "N", "N", "N", "N"], "fractional_positions": [[0.0000, 0.5000, 0.5000], [0.5000, 0.0000, 0.5000], [0.5000, 0.5000, 0.0000], [0.0000, 0.0000, 0.5000], [0.0000, 0.5000, 0.0000], [0.5000, 0.0000, 0.0000], [0.5000, 0.5000, 0.5000], [0.2396, 0.2396, 0.2396], [0.2496, 0.7270, 0.7270], [0.2730, 0.2730, 0.7504], [0.2730, 0.7504, 0.2730], [0.7270, 0.2496, 0.7270], [0.7270, 0.7270, 0.2496], [0.7504, 0.2730, 0.2730], [0.7604, 0.7604, 0.7604]]}

***

8.
{"formula": "Li2VReN4", "functional": "PBE", "state": "relaxed", "raw_formation_energy_ev_per_atom": -0.519, "cell": [[6.4496, 0.0000, 0.0000], [0.0000, 5.7764, 0.0000], [0.0000, 0.0000, 5.1579]], "species": ["Li", "Li", "Li", "Li", "V", "V", "Re", "Re", "N", "N", "N", "N", "N", "N", "N", "N"], "fractional_positions": [[0.2490, 0.1604, 0.0000], [0.2510, 0.8396, 0.5000], [0.7490, 0.8396, 0.5000], [0.7510, 0.1604, 0.0000], [0.0000, 0.3426, 0.5003], [0.5000, 0.6574, 0.0003], [0.0000, 0.6555, 0.0079], [0.5000, 0.3445, 0.5079], [0.0000, 0.3613, 0.8596], [0.0000, 0.6417, 0.3698], [0.2481, 0.8057, 0.9200], [0.2519, 0.1943, 0.4200], [0.5000, 0.3583, 0.8698], [0.5000, 0.6387, 0.3596], [0.7481, 0.1943, 0.4200], [0.7519, 0.8057, 0.9200]]}

***

Number 1: V 17.160 Å³ per atom, DOS(E_F) 0.420 states/eV per atom, calculated total energy -33.412 eV for the cell shown. Number 2: V 13.968 Å³ per atom, DOS(E_F) 0.765 states/eV per atom, calculated total energy -27.200 eV for the cell shown. Number 3: V 20.715 Å³ per atom, DOS(E_F) 0.914 states/eV per atom, calculated total energy -19.710 eV for the cell shown. Number 4: V 13.316 Å³ per atom, DOS(E_F) 0.000 states/eV per atom, calculated total energy -120.902 eV for the cell shown. Number 5: V 15.005 Å³ per atom, DOS(E_F) 0.000 states/eV per atom, calculated total energy -171.098 eV for the cell shown. Number 6: V 11.530 Å³ per atom, DOS(E_F) 0.508 states/eV per atom, calculated total energy -127.695 eV for the cell shown. Number 7: V 13.014 Å³ per atom, DOS(E_F) 0.665 states/eV per atom, calculated total energy -130.853 eV for the cell shown. Number 8: V 12.010 Å³ per atom, DOS(E_F) 0.494 states/eV per atom, calculated total energy -125.693 eV for the cell shown.